! Cd3InAs, relaxed, DFT PBE; values from VASP
! Total magnetization: 0.00 μB/f.u.
! VASP energy: -1.744 eV per atom
! E above lowest polymorph: 0.000 eV/atom
&SYSTEM
  ibrav = 0, nat = 5, ntyp = 3
/
ATOMIC_SPECIES
As 74.92 As.upf
Cd 112.41 Cd.upf
In 114.82 In.upf
ATOMIC_POSITIONS angstrom
As 0.0000 0.0000 0.0000
Cd -1.9336 -1.1403 -1.4396
Cd -1.6404 0.1325 2.0983
Cd -0.8257 2.4070 -0.7975
In -4.3996 1.3992 -0.1387
CELL_PARAMETERS angstrom
-1.6514 4.8139 -1.5950
-3.8672 -2.2805 -2.8791
-3.2807 0.2650 4.1966

***

! CdInAs, relaxed, DFT PBE; values from VASP
! Total magnetization: 0.00 μB/f.u.
! VASP energy: -2.638 eV per atom
&SYSTEM
  ibrav = 0, nat = 3, ntyp = 3
/
ATOMIC_SPECIES
As 74.92 As.upf
Cd 112.41 Cd.upf
In 114.82 In.upf
ATOMIC_POSITIONS angstrom
As 0.0000 0.0000 0.5176
Cd 2.5382 1.4654 0.5315
In 0.0000 2.9309 2.1085
CELL_PARAMETERS angstrom
5.0764 0.0000 0.0000
-2.5382 4.3963 0.0000
0.0000 0.0000 3.1577

***

Number 1: DOS at the Fermi energy 2.118 states/eV/f.u., ΔE_f 282.9 meV per atom. Number 2: DOS at the Fermi energy 1.037 states/eV/f.u., ΔE_f 129.6 meV per atom.